1.
Density functional theory data (GGA-PBE) for a relaxed PtSO4 crystal.

a = 6.1175 Å, b = 6.1177 Å, c = 9.0150 Å
α = 90.85°, β = 90.99°, γ = 90.05°
Atoms (fractional coordinates):
1 O 0.8509 0.9026 0.0965
2 O 0.6077 0.5103 0.0978
3 O 0.2500 0.6564 0.1015
4 O 0.9968 0.2604 0.1022
5 O 0.2540 0.9905 0.3941
6 O 0.6500 0.2436 0.3944
7 O 0.5042 0.6014 0.3988
8 O 0.8963 0.8444 0.4000
9 O 0.4015 0.3488 0.5965
10 O 0.0092 0.1057 0.5977
11 O 0.1554 0.7479 0.6016
12 O 0.7595 0.4947 0.6023
13 O 0.4919 0.7556 0.8940
14 O 0.7450 0.1515 0.8943
15 O 0.1029 0.0057 0.8988
16 O 0.3459 0.3979 0.9000
17 Pt 0.9281 0.5821 0.0850
18 Pt 0.5766 0.9225 0.4111
19 Pt 0.0810 0.4262 0.5851
20 Pt 0.4240 0.0781 0.9110
21 S 0.5796 0.4227 0.4979
22 S 0.0796 0.9228 0.4984
23 S 0.9244 0.0809 0.9979
24 S 0.4245 0.5809 0.9984

E_tot: -5.810 eV per atom
Space group: P1, No. 1

=====

2.
Density functional theory data (GGA-PBE) for a relaxed ErTmBC2 crystal.

a = 6.0219 Å, b = 6.0219 Å, c = 6.0219 Å
α = 145.65°, β = 145.65°, γ = 49.37°
Atoms (fractional coordinates):
1 B 0.9998 0.9998 0.0000
2 C 0.1366 0.1366 0.0000
3 C 0.8633 0.8633 0.0000
4 Er 0.3509 0.3509 0.0000
5 Tm 0.6494 0.6494 0.0000

E_tot: -7.321 eV per atom
Space group: I4mm, No. 107

=====

3.
Density functional theory data (GGA-PBE) for a relaxed HoTmGe2Pd crystal.

a = 5.7048 Å, b = 5.7048 Å, c = 10.1850 Å
α = 115.20°, β = 115.20°, γ = 44.33°
Atoms (fractional coordinates):
1 Ge 0.4734 0.4734 0.1172
2 Ge 0.3633 0.3633 0.4292
3 Ge 0.6367 0.6367 0.5708
4 Ge 0.5266 0.5266 0.8828
5 Ho 0.1838 0.1838 0.1067
6 Ho 0.8162 0.8162 0.8933
7 Pd 0.7226 0.7226 0.3562
8 Pd 0.2774 0.2774 0.6438
9 Tm 0.0058 0.0058 0.3280
10 Tm 0.9942 0.9942 0.6720

E_tot: -5.614 eV per atom
Space group: C2/m, No. 12

=====

4.
Density functional theory data (GGA-PBE) for a relaxed RbHoHgS3 crystal.

a = 9.0410 Å, b = 9.0410 Å, c = 9.0655 Å
α = 102.01°, β = 102.01°, γ = 26.02°
Atoms (fractional coordinates):
1 Hg 0.4862 0.4862 0.2738
2 Hg 0.5138 0.5138 0.7262
3 Ho 0.8311 0.8311 0.4273
4 Ho 0.1689 0.1689 0.5727
5 Rb 0.1469 0.1469 0.0678
6 Rb 0.8531 0.8531 0.9322
7 S 0.5000 0.5000 0.0000
8 S 0.3344 0.3344 0.2280
9 S 0.6729 0.6729 0.3724
10 S 0.0000 0.0000 0.5000
11 S 0.3271 0.3271 0.6276
12 S 0.6656 0.6656 0.7720

E_tot: -4.220 eV per atom
Space group: C2/m, No. 12

=====

Number 1: volume 14.05 Å³/atom, theoretical density 5.73 g cm⁻³. Number 2: volume 13.84 Å³/atom, theoretical density 8.90 g cm⁻³. Number 3: volume 20.57 Å³/atom, theoretical density 9.45 g cm⁻³. Number 4: volume 26.47 Å³/atom, theoretical density 5.72 g cm⁻³.